1.
This record from Alexandria describes a relaxed structure of Mn2VCdS. The functional is PBE.

* uncorrected formation energy: 1.042 eV/atom

The structure in extended XYZ format:
```
5
Lattice="4.4068 0.0000 0.0000 0.0000 5.2507 0.0000 0.0000 0.0000 4.4068" Properties=species:S:1:pos:R:3 pbc="T T T"
Cd 0.0000 2.6254 0.0000
Mn 0.0000 0.0000 2.2034
V 0.0000 0.0000 0.0000
S 2.2034 2.6254 2.2034
Mn 2.2034 0.0000 0.0000
```

---

2.
This record from Alexandria describes a relaxed structure of Ho2Er2Th. The functional is PBE.

* energy of formation from the pure elements: 0.43 eV/f.u.

The structure in extended XYZ format:
```
10
Lattice="5.8142 0.0000 -1.5719 0.6531 6.3017 2.4157 -0.2006 5.0898 10.7967" Properties=species:S:1:pos:R:3 pbc="T T T"
Er 2.8555 6.2942 8.8146
Th 0.5797 1.5754 0.4913
Ho 5.1373 6.0698 6.3832
Er 3.9650 1.9464 1.3799
Ho 1.3470 2.1709 3.9023
Ho 1.1294 5.3217 5.2572
Er 3.4112 5.0973 2.8258
Th 5.8876 4.7263 0.3524
Ho 4.9197 9.2206 7.7381
Er 2.3017 9.4450 10.2604
```

---

3.
This record from Alexandria describes a relaxed structure of CaTb4Pr8. The functional is PBE.

* energy of formation from the pure elements: 0.44 eV/f.u.

The structure in extended XYZ format:
```
13
Lattice="5.1008 0.0002 1.0664 2.8556 5.6185 -0.9276 -0.7987 -2.7826 16.5716" Properties=species:S:1:pos:R:3 pbc="T T T"
Tb 3.5995 -0.3975 8.2585
Tb 2.1418 1.8087 2.4994
Pr 5.7580 1.2904 10.6681
Pr 1.3997 1.5458 6.0423
Pr 4.3004 3.5015 4.9062
Pr 5.0453 3.6656 1.3388
Tb 3.5581 3.2336 8.4519
Pr 4.3436 -0.1915 4.6962
Tb 5.0159 1.0274 14.2109
Pr 2.8572 -0.6654 11.8042
Ca 0.0000 0.0000 0.0000
Pr 2.1124 -0.8295 15.3715
Pr 2.8140 3.0276 12.0142
```

---

4.
This record from Alexandria describes a relaxed structure of Nd4PaN4. The functional is PBE.

* uncorrected formation energy: -1.296 eV/atom

The structure in extended XYZ format:
```
9
Lattice="3.5160 0.0000 0.8310 1.4837 5.9412 1.5758 -0.0591 0.0208 8.1035" Properties=species:S:1:pos:R:3 pbc="T T T"
N 1.2208 0.5801 2.6882
N 3.5414 1.5615 8.5769
Nd 1.8828 3.5756 7.7408
N 1.3992 4.4005 1.9335
Nd 4.3322 4.9092 5.2313
Nd 3.0578 2.3864 2.7696
Pa 1.7580 0.0000 0.4155
N 3.7198 5.3819 7.8222
Nd 0.6085 1.0528 5.2791
```

---

5.
This record from Alexandria describes a relaxed structure of NpGa2Pd. The functional is PBE.

* energy of formation from the pure elements: -1.43 eV/f.u.

The structure in extended XYZ format:
```
16
Lattice="-2.8662 -3.3466 0.1925 3.8740 -3.5481 -4.0023 4.9909 -3.8027 8.2021" Properties=species:S:1:pos:R:3 pbc="T T T"
Np 2.3854 -6.4049 -0.0454
Pd 1.8902 -3.1466 -1.2972
Ga 2.3429 -5.9764 6.7707
Pd 1.4415 -2.5065 3.1499
Np 6.4141 -6.7247 3.8559
Pd 4.5572 -8.1909 1.2423
Ga 1.0934 -5.4462 -2.6163
Ga 1.2111 -5.2377 2.7617
Ga 3.6559 -4.7210 -2.3784
Ga 2.6521 -3.6580 1.1564
Ga 3.3467 -7.0394 3.2358
Np 3.6134 -4.2926 4.4376
Np -0.4154 -3.9727 0.5363
Pd 4.1085 -7.5508 5.6894
Ga 4.7876 -5.4597 1.6305
Ga 4.9054 -5.2512 7.0085
```

---

6.
This record from Alexandria describes a relaxed structure of Th2BeGa4Pt3. The functional is PBE.

* energy of formation from the pure elements: -8.14 eV/f.u.

The structure in extended XYZ format:
```
10
Lattice="-0.4619 -1.0079 4.1229 -3.5005 -2.2548 -0.9434 5.8333 -8.4638 -1.4156" Properties=species:S:1:pos:R:3 pbc="T T T"
Pt 2.9166 -4.2319 -0.7078
Ga 0.4357 -4.2992 -1.0022
Ga 0.0000 0.0000 0.0000
Pt 4.8084 -7.8158 0.8386
Th 1.2661 -2.6761 1.6982
Pt -0.9563 -2.2793 -0.6643
Ga -1.9812 -1.6314 1.5898
Th 2.5860 -7.4190 -1.5240
Be 0.9354 -5.8632 0.8820
Ga 3.4164 -5.7960 1.1764
```